# Sb3RuCl | Alexandria | PBE-GGA | optimized geometry
data_Sb3RuCl
_chemical_formula_sum 'Sb3 Ru1 Cl1'
_cell_length_a 5.0989
_cell_length_b 5.0989
_cell_length_c 5.0989
_cell_angle_alpha 90.00
_cell_angle_beta 90.00
_cell_angle_gamma 90.00
_space_group_name_H-M_alt 'P 1'
_space_group_IT_number 1
_space_group_name_Hall 'P 1'
loop_
_atom_site_label
_atom_site_type_symbol
_atom_site_fract_x
_atom_site_fract_y
_atom_site_fract_z
_atom_site_occupancy
Sb1 Sb 0.0000 0.0000 0.5000 1
Sb2 Sb 0.0000 0.5000 0.0000 1
Sb3 Sb 0.5000 0.0000 0.0000 1
Ru1 Ru 0.5000 0.5000 0.5000 1
Cl1 Cl 0.0000 0.0000 0.0000 1
# **Total DFT energy (no corrections)**: -0.123 hartree per atom
# **Size of the total moment**: 0.00 μB per cell
# **Mass density**: 6.29 Mg/m³
# **Symmetry**: Pm-3m

***

# SrSiSb | Alexandria | PBE-GGA | optimized geometry
data_SrSiSb
_chemical_formula_sum 'Sr4 Si4 Sb4'
_cell_length_a 12.8448
_cell_length_b 4.1173
_cell_length_c 8.8033
_cell_angle_alpha 90.00
_cell_angle_beta 129.99
_cell_angle_gamma 90.00
_space_group_name_H-M_alt 'P 1'
_space_group_IT_number 1
_space_group_name_Hall 'P 1'
loop_
_atom_site_label
_atom_site_type_symbol
_atom_site_fract_x
_atom_site_fract_y
_atom_site_fract_z
_atom_site_occupancy
Sr1 Sr 0.2051 0.0000 0.2465 1
Sr2 Sr 0.2949 0.5000 0.7535 1
Sr3 Sr 0.7051 0.5000 0.2465 1
Sr4 Sr 0.7949 0.0000 0.7535 1
Si1 Si 0.0599 0.0000 0.4404 1
Si2 Si 0.4401 0.5000 0.5596 1
Si3 Si 0.5599 0.5000 0.4404 1
Si4 Si 0.9401 0.0000 0.5596 1
Sb1 Sb 0.0554 0.5000 0.8115 1
Sb2 Sb 0.4446 0.0000 0.1885 1
Sb3 Sb 0.5554 0.0000 0.8115 1
Sb4 Sb 0.9446 0.5000 0.1885 1
# **Total DFT energy (no corrections)**: -0.154 hartree per atom
# **Size of the total moment**: 0.00 μB per cell
# **Mass density**: 4.42 Mg/m³
# **Symmetry**: C2/m

***

# LaCd8Cu4 | Alexandria | PBE-GGA | optimized geometry
data_LaCd8Cu4
_chemical_formula_sum 'La1 Cd8 Cu4'
_cell_length_a 7.3887
_cell_length_b 7.3887
_cell_length_c 7.3887
_cell_angle_alpha 97.60
_cell_angle_beta 97.60
_cell_angle_gamma 137.36
_space_group_name_H-M_alt 'P 1'
_space_group_IT_number 1
_space_group_name_Hall 'P 1'
loop_
_atom_site_label
_atom_site_type_symbol
_atom_site_fract_x
_atom_site_fract_y
_atom_site_fract_z
_atom_site_occupancy
La1 La 0.0000 0.0000 0.0000 1
Cd1 Cd 0.0000 0.3432 0.3432 1
Cd2 Cd 0.0000 0.6568 0.6568 1
Cd3 Cd 0.2817 0.5000 0.7817 1
Cd4 Cd 0.3432 0.0000 0.3432 1
Cd5 Cd 0.5000 0.2817 0.7817 1
Cd6 Cd 0.5000 0.7183 0.2183 1
Cd7 Cd 0.6568 0.0000 0.6568 1
Cd8 Cd 0.7183 0.5000 0.2183 1
Cu1 Cu 0.0000 0.0000 0.5000 1
Cu2 Cu 0.0000 0.5000 0.0000 1
Cu3 Cu 0.5000 0.0000 0.0000 1
Cu4 Cu 0.5000 0.5000 0.5000 1
# **Size of the total moment**: 0.00 μB per cell
# **Mass density**: 8.43 Mg/m³
# **Energy of formation from the pure elements**: -0.107 eV per atom
# **Symmetry**: I4/mmm